Compound: EuTmZnPt
Source: the Alexandria database
Functional: PBE
Structure: optimized geometry

a = 7.1015 Å, b = 7.1015 Å, c = 7.1015 Å
α = 90.00°, β = 90.00°, γ = 90.00°
Space group F-43m (No. 216)
Inequivalent atoms, fractional coordinates:
Eu 0.0000 0.0000 0.0000
Tm 0.0000 0.0000 0.5000
Zn 0.2500 0.2500 0.2500
Pt 0.2500 0.2500 0.7500

Computed properties:
Total DFT energy (no corrections)   -24.8 eV/f.u.
Energy of formation from the pure elements   -0.674 eV per atom

Compound: Nd6Sm10Th
Source: the Alexandria database
Functional: PBE
Structure: optimized geometry

a = 9.8504 Å, b = 9.8504 Å, c = 7.0391 Å
α = 90.00°, β = 90.00°, γ = 120.00°
Space group P-31m (No. 162)
Inequivalent atoms, fractional coordinates:
Nd 0.0000 0.3749 0.3009
Sm 0.0000 0.2716 0.8153
Sm 0.3333 0.6667 0.0000
Sm 0.3333 0.6667 0.5000
Th 0.0000 0.0000 0.5000

Computed properties:
Total DFT energy (no corrections)   -80.8 eV/f.u.
Energy of formation from the pure elements   0.143 eV per atom

Compound: RbNaGeTe2
Source: the Alexandria database
Functional: PBE
Structure: optimized geometry

a = 6.1906 Å, b = 16.0235 Å, c = 7.2272 Å
α = 90.00°, β = 90.00°, γ = 90.00°
Space group Cmme (No. 67)
Inequivalent atoms, fractional coordinates:
Rb 0.0000 0.2500 0.2333
Na 0.2500 0.0000 0.5000
Ge 0.0000 0.0000 0.0000
Te 0.0000 0.1294 0.7434

Computed properties:
Total DFT energy (no corrections)   -15.1 eV/f.u.
Uncorrected formation energy   -184 kJ/mol of formula units

Compound: Ac3MgSn
Source: the Alexandria database
Functional: PBE
Structure: optimized geometry

a = 9.8478 Å, b = 6.9187 Å, c = 11.5357 Å
α = 90.00°, β = 104.41°, γ = 90.00°
Space group P2_1/c (No. 14)
Inequivalent atoms, fractional coordinates:
Ac 0.0497 0.0283 0.2747
Ac 0.2467 0.1660 0.5711
Ac 0.3808 0.6710 0.3503
Mg 0.1157 0.6869 0.5250
Sn 0.4219 0.1694 0.3546

Computed properties:
Total DFT energy (no corrections)   -18.9 eV/f.u.
Energy of formation from the pure elements   -0.200 eV per atom

Compound: La2AgTe
Source: the Alexandria database
Functional: PBE
Structure: optimized geometry

a = 4.5260 Å, b = 4.5260 Å, c = 6.4764 Å
α = 90.00°, β = 90.00°, γ = 90.00°
Space group P4mm (No. 99)
Inequivalent atoms, fractional coordinates:
La 0.0000 0.0000 0.0000
La 0.5000 0.5000 0.4993
Ag 0.5000 0.5000 0.9990
Te 0.0000 0.0000 0.5000

Computed properties:
Total DFT energy (no corrections)   -19.1 eV/f.u.
Uncorrected formation energy   -313 kJ/mol of formula units